Entry 1:
Crystalline Tb2SmTe2 at its relaxed geometry. Source: Alexandria, functional PBE.

Geometry as POSCAR:
```
Tb2SmTe2
1.0
-1.918 3.338 2.124
-2.809 0.514 -3.344
-2.528 -6.862 3.951
Sm Te Tb
1 2 2
Direct
0.000 0.000 0.000
0.606 0.606 0.211
0.394 0.394 0.789
0.750 0.250 0.500
0.250 0.750 0.500
```

The space group is I4/mmm, No. 139. As for the uncorrected energy: -4.790 eV/atom.

Entry 2:
Crystalline TbSm4Te4 at its relaxed geometry. Source: Alexandria, functional PBE.

Geometry as POSCAR:
```
TbSm4Te4
1.0
-2.294 -2.631 -7.101
-2.500 -6.741 3.305
-2.207 6.748 2.622
Te Sm Tb
4 4 1
Direct
0.370 0.910 0.280
0.090 0.090 0.720
0.910 0.370 0.280
0.630 0.630 0.720
0.671 0.671 0.341
0.000 0.500 0.000
0.500 0.000 0.000
0.329 0.329 0.659
0.000 0.000 0.000
```

The space group is I-42m, No. 121. As for the uncorrected energy: -4.819 eV/atom.

Entry 3:
Crystalline TbSm4Te5 at its relaxed geometry. Source: Alexandria, functional PBE.

Geometry as POSCAR:
```
TbSm4Te5
1.0
4.413 0.000 0.000
0.000 4.413 0.000
-2.206 -2.206 15.801
Te Sm Tb
5 4 1
Direct
0.904 0.904 0.807
0.096 0.096 0.193
0.704 0.704 0.408
0.500 0.500 0.000
0.296 0.296 0.592
0.396 0.396 0.793
0.604 0.604 0.207
0.194 0.194 0.387
0.806 0.806 0.613
0.000 0.000 0.000
```

The space group is I4/mmm, No. 139. As for the uncorrected energy: -5.291 eV/atom.

Entry 4:
Crystalline TbSm4Te2 at its relaxed geometry. Source: Alexandria, functional PBE.

Geometry as POSCAR:
```
TbSm4Te2
1.0
-1.532 1.441 5.101
-5.245 1.374 1.021
-4.145 -7.641 3.898
Sm Te Tb
4 2 1
Direct
0.133 0.133 0.600
0.733 0.733 0.802
0.267 0.267 0.198
0.867 0.867 0.400
0.615 0.615 0.156
0.385 0.385 0.844
0.500 0.500 0.500
```

The space group is R-3m, No. 166. As for the uncorrected energy: -4.812 eV/atom.

Entry 5:
Crystalline TbSmTe at its relaxed geometry. Source: Alexandria, functional PBE.

Geometry as POSCAR:
```
TbSmTe
1.0
-3.907 -0.107 1.189
0.983 -4.225 2.849
0.509 4.720 2.097
Tb Te Sm
1 1 1
Direct
0.102 0.000 0.000
0.308 0.333 0.667
0.589 0.667 0.333
```

The space group is P3m1, No. 156. As for the uncorrected energy: -4.660 eV/atom.

Entry 6:
Crystalline Tb3SmTe2 at its relaxed geometry. Source: Alexandria, functional PBE.

Geometry as POSCAR:
```
Tb3SmTe2
1.0
3.948 0.000 0.000
-1.974 10.949 -1.192
0.000 -5.997 8.939
Tb Te Sm
6 4 2
Direct
0.366 0.732 0.194
0.309 0.617 0.486
0.049 0.099 0.443
0.634 0.268 0.806
0.951 0.901 0.557
0.691 0.383 0.514
0.252 0.505 0.813
0.748 0.495 0.187
0.487 0.975 0.822
0.513 0.025 0.178
0.110 0.220 0.115
0.890 0.780 0.885
```

The space group is C2/m, No. 12. As for the uncorrected energy: -4.956 eV/atom.

Entry 7:
Crystalline Tb2SmTe4 at its relaxed geometry. Source: Alexandria, functional PBE.

Geometry as POSCAR:
```
Tb2SmTe4
1.0
4.284 0.000 0.000
-2.142 7.201 0.000
0.000 0.000 15.032
Te Tb Sm
8 4 2
Direct
0.223 0.445 0.878
0.777 0.555 0.378
0.500 0.000 0.500
0.223 0.445 0.622
0.965 0.931 0.750
0.500 0.000 0.000
0.777 0.555 0.122
0.035 0.069 0.250
0.131 0.263 0.069
0.869 0.737 0.569
0.131 0.263 0.431
0.869 0.737 0.931
0.373 0.747 0.250
0.627 0.253 0.750
```

The space group is Cmcm, No. 63. As for the uncorrected energy: -5.172 eV/atom.

Entry 8:
Crystalline Tb3SmTe at its relaxed geometry. Source: Alexandria, functional PBE.

Geometry as POSCAR:
```
Tb3SmTe
1.0
3.900 0.000 0.000
0.000 10.939 0.000
0.000 0.000 14.597
Tb Te Sm
12 4 4
Direct
0.750 0.072 0.203
0.250 0.565 0.085
0.250 0.816 0.208
0.750 0.184 0.792
0.750 0.684 0.708
0.250 0.428 0.703
0.250 0.065 0.415
0.250 0.316 0.292
0.750 0.935 0.585
0.250 0.928 0.797
0.750 0.435 0.915
0.750 0.572 0.297
0.750 0.845 0.377
0.750 0.345 0.123
0.250 0.655 0.877
0.250 0.155 0.623
0.750 0.833 0.001
0.750 0.333 0.499
0.250 0.167 0.999
0.250 0.667 0.501
```

The space group is Pnma, No. 62. As for the uncorrected energy: -4.815 eV/atom.

Number 1: ΔE_f (raw) -0.74 eV per atom, Fermi-level density of states 4.440 states/eV per cell. Number 2: ΔE_f (raw) -0.81 eV per atom, Fermi-level density of states 11.839 states/eV per cell. Number 3: ΔE_f (raw) -1.37 eV per atom, Fermi-level density of states 5.486 states/eV per cell. Number 4: ΔE_f (raw) -0.56 eV per atom, Fermi-level density of states 6.456 states/eV per cell. Number 5: ΔE_f (raw) -0.50 eV per atom, Fermi-level density of states 2.614 states/eV per cell. Number 6: ΔE_f (raw) -0.81 eV per atom, Fermi-level density of states 13.198 states/eV per cell. Number 7: ΔE_f (raw) -1.38 eV per atom, Fermi-level density of states 5.693 states/eV per cell. Number 8: ΔE_f (raw) -0.46 eV per atom, Fermi-level density of states 25.734 states/eV per cell.